[1]
# BaPRuPb (PBE, relaxed)
data_BaPRuPb
_chemical_formula_sum 'Ba2 P2 Ru2 Pb2'
_space_group_name_H-M_alt 'P 4/n m m'
_space_group_IT_number 129
_cell_length_a 4.2180
_cell_length_b 4.2180
_cell_length_c 12.0429
_cell_angle_alpha 90.00
_cell_angle_beta 90.00
_cell_angle_gamma 90.00
loop_
_space_group_symop_operation_xyz
'x,y,z'
'-x,-y,-z'
'-y+1/2,x,z'
'y+1/2,-x,-z'
'-x+1/2,-y+1/2,z'
'x+1/2,y+1/2,-z'
'y,-x+1/2,z'
'-y,x+1/2,-z'
'x+1/2,-y,-z'
'-x+1/2,y,z'
'-y,-x,-z'
'y,x,z'
'-x,y+1/2,-z'
'x,-y+1/2,z'
'y+1/2,x+1/2,-z'
'-y+1/2,-x+1/2,z'
loop_
_atom_site_label
_atom_site_fract_x
_atom_site_fract_y
_atom_site_fract_z
_atom_site_occupancy
Ba1 0.2500 0.2500 0.2324 1
P1 0.2500 0.2500 0.9080 1
Ru1 0.2500 0.7500 0.0000 1
Pb1 0.2500 0.7500 0.5000 1
# * E: -5.71 eV per atom
# * N(E_F): 0.2808 states/eV per atom



[2]
# Dy3Y2ScTe6 (PBE, relaxed)
data_Dy3Y2ScTe6
_chemical_formula_sum 'Dy6 Y4 Sc2 Te12'
_space_group_name_H-M_alt 'C 1 2/m 1'
_space_group_IT_number 12
_space_group_name_Hall '-C 2y'
_cell_length_a 18.8661
_cell_length_b 4.3149
_cell_length_c 8.6841
_cell_angle_alpha 90.00
_cell_angle_beta 103.15
_cell_angle_gamma 90.00
loop_
_atom_site_label
_atom_site_fract_x
_atom_site_fract_y
_atom_site_fract_z
_atom_site_occupancy
Dy1 0.0000 0.0000 0.0000 1
Dy2 0.1725 0.5000 0.3367 1
Y1 0.1679 0.5000 0.8333 1
Sc1 0.0000 0.0000 0.5000 1
Te1 0.0022 0.5000 0.2602 1
Te2 0.1602 0.0000 0.5792 1
Te3 0.1656 0.0000 0.0836 1
# * uncorrected formation energy: -1.2558 eV per atom
# * N(E_F): 0.5871 states/eV per atom



[3]
# LuNiSnRu (PBE, relaxed)
data_LuNiSnRu
_chemical_formula_sum 'Lu4 Ni4 Sn4 Ru4'
_space_group_name_H-M_alt 'F -4 3 m'
_space_group_IT_number 216
_space_group_name_Hall 'F -4 2 3'
_cell_length_a 6.4896
_cell_length_b 6.4896
_cell_length_c 6.4896
_cell_angle_alpha 90.00
_cell_angle_beta 90.00
_cell_angle_gamma 90.00
loop_
_atom_site_label
_atom_site_fract_x
_atom_site_fract_y
_atom_site_fract_z
_atom_site_occupancy
Lu1 0.0000 0.0000 0.0000 1
Ni1 0.2500 0.2500 0.2500 1
Sn1 0.0000 0.0000 0.5000 1
Ru1 0.2500 0.2500 0.7500 1
# * E: -6.32 eV per atom
# * N(E_F): 0.9176 states/eV per atom



[4]
# Sr2CoPt (PBE, relaxed)
data_Sr2CoPt
_chemical_formula_sum 'Sr2 Co1 Pt1'
_space_group_name_H-M_alt 'P 1 2/m 1'
_space_group_IT_number 10
_space_group_name_Hall '-P 2y'
_cell_length_a 3.7163
_cell_length_b 3.7105
_cell_length_c 7.3851
_cell_angle_alpha 90.00
_cell_angle_beta 90.06
_cell_angle_gamma 90.00
loop_
_atom_site_label
_atom_site_fract_x
_atom_site_fract_y
_atom_site_fract_z
_atom_site_occupancy
Sr1 0.0000 0.0000 0.2407 1
Co1 0.5000 0.5000 0.5000 1
Pt1 0.5000 0.5000 0.0000 1
# * E: -4.16 eV per atom
# * N(E_F): 1.4698 states/eV per atom